Computed, not measured: Sb2TePd2 after structural relaxation at the PBE level of DFT.

Cell lengths 4.481, 4.481, 6.690 Å; angles 70.43, 70.43, 90.00 degrees
Positions (direct):
Sb 0.250 0.750 0.500
Pd 0.616 0.616 0.769
Pd 0.384 0.384 0.231
Sb 0.750 0.250 0.500
Te 0.000 0.000 0.000

Calculated values
- energy above the lowest structure with this stoichiometry (meV/atom) = 101
- ρ (g cm⁻³) = 8.20
- volume (Å³/f.u.) = 118.3
- SG = I4/mmm, No. 139
- final energy (eV/atom) = -4.422
- total moment (μB/f.u.) = 0.00